VASP calculation (PBE) on a relaxed structure of Ac12Bi3Ru5.

Lattice parameters (Å, degrees): 15.945 15.945 15.945 109.47 109.47 109.47
Fractional coordinates of all 80 atoms:
Ac1 0.416 0.117 0.597
Ru1 0.625 0.750 0.875
Bi1 0.875 0.750 0.125
Ru2 0.000 0.000 0.000
Ac2 0.403 0.020 0.320
Ac3 0.903 0.820 0.520
Ac4 0.416 0.300 0.320
Ru3 0.750 0.125 0.875
Ac5 0.200 0.520 0.617
Ac6 0.520 0.320 0.903
Ac7 0.383 0.403 0.084
Ac8 0.883 0.300 0.480
Ru4 0.250 0.875 0.125
Bi2 0.125 0.250 0.875
Ru5 0.875 0.250 0.625
Ru6 0.000 0.500 0.000
Ac9 0.916 0.820 0.800
Ac10 0.097 0.916 0.117
Bi3 0.750 0.375 0.125
Ac11 0.800 0.480 0.383
Ac12 0.820 0.916 0.300
Bi4 0.750 0.875 0.625
Ru7 0.750 0.625 0.375
Ac13 0.617 0.020 0.200
Bi5 0.250 0.125 0.375
Ac14 0.180 0.097 0.980
Bi6 0.875 0.125 0.250
Ac15 0.597 0.980 0.680
Ac16 0.097 0.180 0.480
Ru8 0.875 0.625 0.750
Ac17 0.320 0.800 0.416
Ru9 0.500 0.500 0.000
Ac18 0.020 0.403 0.820
Ac19 0.180 0.084 0.700
Ac20 0.820 0.903 0.020
Ac21 0.883 0.584 0.903
Ac22 0.020 0.617 0.700
Ac23 0.617 0.597 0.916
Ru10 0.500 0.500 0.500
Ac24 0.084 0.180 0.200
Ac25 0.403 0.383 0.584
Ac26 0.117 0.700 0.520
Ru11 0.500 0.000 0.500
Ac27 0.300 0.883 0.980
Ru12 0.250 0.375 0.625
Ru13 0.375 0.125 0.750
Ac28 0.117 0.416 0.097
Ac29 0.800 0.320 0.916
Ac30 0.700 0.117 0.020
Ac31 0.700 0.584 0.180
Ac32 0.584 0.700 0.680
Ac33 0.520 0.200 0.117
Ac34 0.200 0.680 0.084
Ru14 0.125 0.375 0.250
Ac35 0.300 0.416 0.820
Bi7 0.625 0.375 0.750
Ac36 0.084 0.903 0.383
Ru15 0.375 0.250 0.125
Ru16 0.000 0.500 0.500
Ru17 0.000 0.000 0.500
Ac37 0.480 0.680 0.097
Bi8 0.250 0.625 0.875
Ru18 0.500 0.000 0.000
Ac38 0.916 0.097 0.617
Ru19 0.125 0.750 0.375
Bi9 0.625 0.250 0.375
Ac39 0.383 0.980 0.800
Ac40 0.980 0.597 0.180
Ac41 0.584 0.883 0.403
Ac42 0.680 0.200 0.584
Ac43 0.480 0.800 0.883
Ac44 0.680 0.480 0.597
Ac45 0.320 0.520 0.403
Bi10 0.375 0.750 0.625
Ru20 0.625 0.875 0.250
Ac46 0.597 0.617 0.416
Bi11 0.125 0.875 0.750
Ac47 0.980 0.383 0.300
Bi12 0.375 0.625 0.250
Ac48 0.903 0.084 0.883

**DFT total energy**: -447.80 eV/cell
**Space group**: Ia-3d

---

VASP calculation (PBE) on a relaxed structure of Ac2BiS.

Lattice parameters (Å, degrees): 6.577 6.577 12.917 90.01 90.00 90.00
Fractional coordinates of all 16 atoms:
Ac1 0.250 0.000 0.637
Bi1 0.250 0.000 0.375
S1 0.750 0.500 0.375
Ac2 0.750 0.500 0.613
Bi2 0.750 0.500 0.875
Ac3 0.250 0.500 0.387
Ac4 0.750 0.000 0.363
Ac5 0.750 0.000 0.887
Bi3 0.250 0.500 0.125
Ac6 0.250 0.500 0.863
Ac7 0.750 0.500 0.137
S2 0.750 0.000 0.125
Bi4 0.750 0.000 0.625
S3 0.250 0.500 0.625
Ac8 0.250 0.000 0.113
S4 0.250 0.000 0.875

**E_form (uncorrected)**: -1.4181 eV per atom
**Relative energy among the computed polymorphs**: 31 meV/atom
**Space group**: I4_1/amd

---

VASP calculation (PBE) on a relaxed structure of AcBiS4.

Lattice parameters (Å, degrees): 7.404 7.708 7.588 116.00 114.55 98.19
Fractional coordinates of all 12 atoms:
Bi1 0.162 0.912 0.825
S1 0.265 0.967 0.543
S2 0.023 0.786 0.080
S3 0.735 0.033 0.457
Bi2 0.838 0.088 0.175
S4 0.222 0.424 0.457
S5 0.556 0.294 0.080
Ac1 0.380 0.630 0.261
S6 0.778 0.576 0.543
S7 0.977 0.214 0.920
Ac2 0.620 0.370 0.739
S8 0.444 0.706 0.920

**E_form (uncorrected)**: -0.8524 eV per atom
**Space group**: C2/c

---

VASP calculation (PBE) on a relaxed structure of AcBiS.

Lattice parameters (Å, degrees): 5.065 5.065 9.771 74.98 74.98 60.00
Fractional coordinates of all 6 atoms:
Ac1 0.399 0.399 0.804
S1 0.706 0.706 0.881
S2 0.294 0.294 0.119
Bi1 0.849 0.849 0.453
Bi2 0.151 0.151 0.547
Ac2 0.601 0.601 0.196

**E_form (uncorrected)**: -1.3005 eV per atom
**Relative energy among the computed polymorphs**: 38 meV/atom
**Space group**: R-3m

---

VASP calculation (PBE) on a relaxed structure of Ac5BiS4.

Lattice parameters (Å, degrees): 4.416 6.320 11.708 105.66 100.87 90.00
Fractional coordinates of all 10 atoms:
S1 0.206 0.206 0.411
Ac1 0.612 0.112 0.224
Ac2 0.388 0.888 0.776
S2 0.399 0.399 0.797
S3 0.601 0.601 0.203
Ac3 0.000 0.500 0.000
Ac4 0.199 0.699 0.398
S4 0.794 0.794 0.589
Ac5 0.801 0.301 0.602
Bi1 0.000 0.000 0.000

**E_form (uncorrected)**: -1.7374 eV per atom
**Space group**: Immm

---

VASP calculation (PBE) on a relaxed structure of Ac3Bi5S12.

Lattice parameters (Å, degrees): 14.638 14.638 14.638 109.47 109.47 109.47
Fractional coordinates of all 80 atoms:
S1 0.585 0.867 0.414
Bi1 0.375 0.250 0.125
Ac1 0.750 0.375 0.125
S2 0.047 0.633 0.718
S3 0.086 0.915 0.133
Bi2 0.250 0.875 0.125
S4 0.671 0.218 0.585
Bi3 0.000 0.000 0.000
S5 0.586 0.633 0.415
S6 0.953 0.367 0.282
Bi4 0.500 0.000 0.000
S7 0.671 0.453 0.586
S8 0.133 0.415 0.086
S9 0.547 0.218 0.133
Bi5 0.125 0.375 0.250
S10 0.047 0.414 0.829
S11 0.453 0.782 0.867
S12 0.718 0.585 0.171
S13 0.367 0.953 0.782
Ac2 0.625 0.250 0.375
Bi6 0.000 0.500 0.500
Bi7 0.000 0.500 0.000
Ac3 0.875 0.125 0.250
Ac4 0.125 0.250 0.875
S14 0.867 0.585 0.914
S15 0.171 0.085 0.718
S16 0.218 0.547 0.633
S17 0.867 0.282 0.453
Bi8 0.750 0.125 0.875
S18 0.282 0.415 0.829
S19 0.586 0.953 0.671
S20 0.829 0.915 0.282
S21 0.133 0.718 0.547
S22 0.915 0.086 0.633
S23 0.585 0.718 0.671
S24 0.414 0.047 0.329
S25 0.829 0.914 0.047
Bi9 0.625 0.875 0.250
Ac5 0.375 0.750 0.625
S26 0.329 0.782 0.415
S27 0.953 0.586 0.171
S28 0.782 0.329 0.915
Bi10 0.750 0.625 0.375
Bi11 0.500 0.500 0.000
Bi12 0.625 0.750 0.875
S29 0.415 0.133 0.586
Ac6 0.375 0.625 0.250
S30 0.547 0.329 0.914
S31 0.329 0.547 0.414
S32 0.282 0.867 0.953
S33 0.718 0.133 0.047
Bi13 0.875 0.625 0.750
Bi14 0.000 0.000 0.500
S34 0.367 0.414 0.085
Bi15 0.500 0.000 0.500
S35 0.218 0.671 0.085
Bi16 0.500 0.500 0.500
S36 0.414 0.367 0.585
Bi17 0.875 0.250 0.625
Ac7 0.125 0.875 0.750
S37 0.085 0.171 0.218
Ac8 0.750 0.875 0.625
S38 0.782 0.453 0.367
Ac9 0.250 0.625 0.875
S39 0.633 0.586 0.915
S40 0.914 0.085 0.867
S41 0.453 0.671 0.086
Ac10 0.250 0.125 0.375
S42 0.415 0.282 0.329
Bi18 0.125 0.750 0.375
Ac11 0.625 0.375 0.750
S43 0.633 0.047 0.218
Bi19 0.250 0.375 0.625
S44 0.085 0.914 0.367
S45 0.915 0.829 0.782
S46 0.171 0.086 0.953
S47 0.914 0.829 0.547
S48 0.086 0.171 0.453
Bi20 0.375 0.125 0.750
Ac12 0.875 0.750 0.125

**E_form (uncorrected)**: -0.9728 eV per atom
**Space group**: Ia-3d

---

VASP calculation (PBE) on a relaxed structure of AcBiS.

Lattice parameters (Å, degrees): 3.903 3.903 6.981 106.23 106.23 90.00
Fractional coordinates of all 3 atoms:
Bi1 0.000 0.000 0.001
Ac1 0.708 0.708 0.417
S1 0.291 0.291 0.583

**E_form (uncorrected)**: -1.0314 eV per atom
**Relative energy among the computed polymorphs**: 307 meV/atom
**Space group**: I4mm

---

VASP calculation (PBE) on a relaxed structure of Ac2BiS.

Lattice parameters (Å, degrees): 3.901 3.901 8.117 90.00 90.00 90.00
Last column: magnetic moment on the atom in μB.
Fractional coordinates of all 4 atoms:
Ac1 0.000 0.000 0.233  0.07
Ac2 0.000 0.000 0.767  0.07
Bi1 0.500 0.500 0.500  0.02
S1 0.500 0.500 0.000  0.00

**E_form (uncorrected)**: -1.1522 eV per atom
**Relative energy among the computed polymorphs**: 297 meV/atom
**Space group**: P4/mmm

---

VASP calculation (PBE) on a relaxed structure of Ac2BiS.

Lattice parameters (Å, degrees): 5.627 5.627 5.627 60.00 60.00 60.00
Fractional coordinates of all 4 atoms:
Ac1 0.250 0.250 0.250
Ac2 0.750 0.750 0.750
Bi1 0.000 0.000 0.000
S1 0.500 0.500 0.500

**E_form (uncorrected)**: -1.1564 eV per atom
**Relative energy among the computed polymorphs**: 292 meV/atom
**Space group**: Fm-3m

---

VASP calculation (PBE) on a relaxed structure of Ac6BiS12.

Lattice parameters (Å, degrees): 8.423 8.423 8.423 98.25 98.25 98.25
Fractional coordinates of all 19 atoms:
S1 0.561 0.413 0.820
S2 0.413 0.820 0.561
Ac1 0.139 0.626 0.311
S3 0.820 0.561 0.413
S4 0.972 0.325 0.044
Ac2 0.861 0.374 0.689
S5 0.044 0.972 0.325
Ac3 0.311 0.139 0.626
Ac4 0.626 0.311 0.139
Ac5 0.689 0.861 0.374
S6 0.180 0.439 0.587
S7 0.325 0.044 0.972
S8 0.439 0.587 0.180
S9 0.956 0.028 0.675
S10 0.675 0.956 0.028
S11 0.028 0.675 0.956
Ac6 0.374 0.689 0.861
S12 0.587 0.180 0.439
Bi1 0.000 0.000 0.000

**E_form (uncorrected)**: -1.6586 eV per atom
**Space group**: R-3

---

VASP calculation (PBE) on a relaxed structure of Ac2BiS.

Lattice parameters (Å, degrees): 4.608 4.608 7.943 73.14 73.14 60.00
Fractional coordinates of all 4 atoms:
Bi1 0.500 0.500 0.500
S1 0.000 0.000 0.000
Ac1 0.741 0.741 0.776
Ac2 0.259 0.259 0.224

**E_form (uncorrected)**: -1.4488 eV per atom
**Relative energy among the computed polymorphs**: 0 meV/atom
**Space group**: R-3m

---

VASP calculation (PBE) on a relaxed structure of Ac4BiS3.

Lattice parameters (Å, degrees): 4.439 6.351 8.971 90.00 90.00 90.00
Fractional coordinates of all 8 atoms:
S1 0.000 0.000 0.500
Ac1 0.500 0.000 0.273
Bi1 0.000 0.000 0.000
Ac2 0.000 0.500 0.000
Ac3 0.500 0.000 0.727
S2 0.500 0.500 0.254
Ac4 0.000 0.500 0.500
S3 0.500 0.500 0.746

**E_form (uncorrected)**: -1.6709 eV per atom
**Space group**: Pmmm

---

Q: Number 8 is which compound?
A: Ac2BiS